This record from the Alexandria database describes crystalline LiPaVO6 at its relaxed geometry. The functional is PBE+U.

Values from the calculation:
E_tot	-7.71	eV per atom

Lattice parameters (Å, degrees): 4.7465 4.7465 9.8753 90.00 90.00 90.00
Closest atoms and distances in Å follow each position.
Sites, in units of the cell vectors:
Li1 0.0000 0.0000 0.0000  6 O 2.11-2.35
Li2 0.5000 0.5000 0.5000  6 O 2.11-2.35
Pa1 0.0000 0.0000 0.6645  4 O 2.05-2.15
Pa2 0.5000 0.5000 0.1645  4 O 2.05-2.15
V1 0.0000 0.0000 0.3432  4 O 1.77-1.85
V2 0.5000 0.5000 0.8432  4 O 1.77-1.85
O1 0.1884 0.1884 0.4685  1 V 1.77
O2 0.1954 0.1954 0.1676  1 Pa 2.05, 1 Li 2.11, 1 V 2.17
O3 0.2271 0.2271 0.8184  1 V 1.85
O4 0.2729 0.7271 0.3184  1 V 1.85
O5 0.3046 0.6954 0.6676  1 Pa 2.05, 1 Li 2.11, 1 V 2.17
O6 0.3116 0.6884 0.9685  1 V 1.77
O7 0.6884 0.3116 0.9685  1 V 1.77
O8 0.6954 0.3046 0.6676  1 Pa 2.05, 1 Li 2.11, 1 V 2.17
O9 0.7271 0.2729 0.3184  1 V 1.85
O10 0.7729 0.7729 0.8184  1 V 1.85
O11 0.8046 0.8046 0.1676  1 Pa 2.05, 1 Li 2.11, 1 V 2.17
O12 0.8116 0.8116 0.4685  1 V 1.77

=====

This record from the Alexandria database describes crystalline LiPa2VO8 at its relaxed geometry. The functional is PBE+U.

Values from the calculation:
E_tot	-8.47	eV per atom

Lattice parameters (Å, degrees): 4.7111 4.7111 7.0827 90.87 90.87 92.44
Closest atoms and distances in Å follow each position.
Sites, in units of the cell vectors:
Li1 0.0000 0.0000 0.0000  2 O 1.99
Pa1 0.4821 0.4821 0.7526  6 O 2.15-2.27
Pa2 0.5179 0.5179 0.2474  6 O 2.15-2.27
V1 0.0000 0.0000 0.5000  6 O 1.91-1.92
O1 0.1733 0.7951 0.3017  1 V 1.91
O2 0.2049 0.8267 0.6983  1 V 1.91
O3 0.2934 0.2934 0.4877  1 V 1.92
O4 0.3047 0.3047 0.0119  1 Li 1.99, 2 Pa 2.15-2.19
O5 0.6953 0.6953 0.9881  1 Li 1.99, 2 Pa 2.15-2.19
O6 0.7066 0.7066 0.5123  1 V 1.92
O7 0.7951 0.1733 0.3017  1 V 1.91
O8 0.8267 0.2049 0.6983  1 V 1.91

=====

This record from the Alexandria database describes crystalline LiPaVO4 at its relaxed geometry. The functional is PBE+U.

Values from the calculation:
E_tot	-8.22	eV per atom

Lattice parameters (Å, degrees): 6.4194 6.4194 6.4194 121.85 112.59 95.06
Closest atoms and distances in Å follow each position.
Sites, in units of the cell vectors:
Li1 0.3709 0.1209 0.2500  2 O 2.02
Li2 0.6291 0.8791 0.7500  2 O 2.02
Pa1 0.0000 0.5000 0.5000  6 O 2.11-2.26
Pa2 0.5000 0.5000 0.0000  6 O 2.11-2.26
V1 0.0000 0.0000 0.5000  6 O 2.18-2.19
V2 0.0000 0.5000 0.0000  6 O 2.18-2.19
O1 0.2070 0.7419 0.4650  1 Pa 2.11, 2 V 2.19, 1 Li 2.35
O2 0.2231 0.2581 0.9650  1 Pa 2.11, 2 V 2.19, 1 Li 2.35
O3 0.2510 0.2784 0.5274  1 Li 2.02, 1 V 2.18, 2 Pa 2.26
O4 0.2510 0.7237 0.9726  1 Li 2.02, 1 V 2.18, 2 Pa 2.26
O5 0.7490 0.2763 0.0274  1 Li 2.02, 1 V 2.18, 2 Pa 2.26
O6 0.7490 0.7216 0.4726  1 Li 2.02, 1 V 2.18, 2 Pa 2.26
O7 0.7769 0.7419 0.0350  1 Pa 2.11, 2 V 2.19, 1 Li 2.35
O8 0.7930 0.2581 0.5350  1 Pa 2.11, 2 V 2.19, 1 Li 2.35

=====

This record from the Alexandria database describes crystalline Li2PaV3O8 at its relaxed geometry. The functional is PBE+U.

Values from the calculation:
E_tot	-7.75	eV per atom

Lattice parameters (Å, degrees): 5.9086 5.9086 5.9086 64.74 64.74 64.74
Closest atoms and distances in Å follow each position.
Sites, in units of the cell vectors:
Li1 0.0000 0.0000 0.0000  4 O 1.82-2.04
Li2 0.3708 0.3708 0.3708  3 O 1.94
Pa1 0.7897 0.7897 0.7897  4 O 2.11-2.23
V1 0.3695 0.3695 0.8780  5 O 1.99-2.08
V2 0.3695 0.8780 0.3695  5 O 1.99-2.08
V3 0.8780 0.3695 0.3695  5 O 1.99-2.08
O1 0.0854 0.0854 0.6050  2 V 1.99, 1 Li 2.04
O2 0.0854 0.6050 0.0854  2 V 1.99, 1 Li 2.04
O3 0.1308 0.1308 0.1308  1 Li 1.82
O4 0.1735 0.5961 0.5961  1 Li 1.94, 2 V 2.08, 1 Pa 2.11
O5 0.5961 0.1735 0.5961  1 Li 1.94, 2 V 2.08, 1 Pa 2.11
O6 0.5961 0.5961 0.1735  1 Li 1.94, 2 V 2.08, 1 Pa 2.11
O7 0.6050 0.0854 0.0854  2 V 1.99, 1 Li 2.04
O8 0.6295 0.6295 0.6295  1 Pa 2.23, 3 V 2.25

=====

This record from the Alexandria database describes crystalline LiPaVO5 at its relaxed geometry. The functional is PBE+U.

Values from the calculation:
E_tot	-8.15	eV per atom

Lattice parameters (Å, degrees): 5.9052 5.9052 8.1415 108.83 108.83 93.46
Closest atoms and distances in Å follow each position.
Sites, in units of the cell vectors:
Li1 0.1840 0.8160 0.7500  3 O 1.98-2.04
Li2 0.8160 0.1840 0.2500  3 O 1.98-2.04
Pa1 0.5000 0.5000 0.0000  6 O 2.17-2.21
Pa2 0.5000 0.5000 0.5000  6 O 2.17-2.21
V1 0.1329 0.8671 0.2500  4 O 1.82
V2 0.8671 0.1329 0.7500  4 O 1.82
O1 0.1820 0.1983 0.3521  1 V 1.82, 1 Li 2.04
O2 0.1983 0.1820 0.8521  1 V 1.82, 1 Li 2.04
O3 0.2468 0.7342 0.0644  1 V 1.82
O4 0.2658 0.7532 0.4356  1 V 1.82
O5 0.4137 0.5863 0.7500  1 Li 1.98, 2 Pa 2.17
O6 0.5863 0.4137 0.2500  1 Li 1.98, 2 Pa 2.17
O7 0.7342 0.2468 0.5644  1 V 1.82
O8 0.7532 0.2658 0.9356  1 V 1.82
O9 0.8017 0.8180 0.1479  1 V 1.82, 1 Li 2.04
O10 0.8180 0.8017 0.6479  1 V 1.82, 1 Li 2.04

=====

This record from the Alexandria database describes crystalline Li4PaV3O12 at its relaxed geometry. The functional is PBE+U.

Values from the calculation:
E_tot	-6.76	eV per atom

Lattice parameters (Å, degrees): 6.2690 6.2690 6.2690 109.47 109.47 109.47
Closest atoms and distances in Å follow each position.
Sites, in units of the cell vectors:
Li1 0.0000 0.0000 0.5000  6 O 1.96
Li2 0.0000 0.5000 0.0000  6 O 1.96
Li3 0.5000 0.0000 0.0000  6 O 1.96
Li4 0.5000 0.5000 0.5000  6 O 1.96
Pa1 0.0000 0.0000 0.0000  12 O 2.56
V1 0.0000 0.5000 0.5000  4 O 1.82
V2 0.5000 0.0000 0.5000  4 O 1.82
V3 0.5000 0.5000 0.0000  4 O 1.82
O1 0.1448 0.3117 0.8332  1 V 1.82, 2 Li 1.96
O2 0.1668 0.4785 0.3117  1 V 1.82, 2 Li 1.96
O3 0.1668 0.8552 0.6883  1 V 1.82, 2 Li 1.96
O4 0.3117 0.1668 0.4785  1 V 1.82, 2 Li 1.96
O5 0.3117 0.8332 0.1448  1 V 1.82, 2 Li 1.96
O6 0.4785 0.3117 0.1668  1 V 1.82, 2 Li 1.96
O7 0.5215 0.6883 0.8332  1 V 1.82, 2 Li 1.96
O8 0.6883 0.1668 0.8552  1 V 1.82, 2 Li 1.96
O9 0.6883 0.8332 0.5215  1 V 1.82, 2 Li 1.96
O10 0.8332 0.1448 0.3117  1 V 1.82, 2 Li 1.96
O11 0.8332 0.5215 0.6883  1 V 1.82, 2 Li 1.96
O12 0.8552 0.6883 0.1668  1 V 1.82, 2 Li 1.96

=====

This record from the Alexandria database describes crystalline LiPaWO6 at its relaxed geometry. The functional is PBE+U.

Values from the calculation:
E_tot	-7.94	eV per atom

Lattice parameters (Å, degrees): 5.5927 5.5927 9.3643 90.00 90.00 120.00
Closest atoms and distances in Å follow each position.
Sites, in units of the cell vectors:
Li1 0.0000 0.0000 0.0000  6 O 2.42
Li2 0.0000 0.0000 0.5000  6 O 2.42
Pa1 0.3333 0.6667 0.2500  6 O 2.19
Pa2 0.6667 0.3333 0.7500  6 O 2.19
W1 0.3333 0.6667 0.7500  6 O 1.96
W2 0.6667 0.3333 0.2500  6 O 1.96
O1 0.0303 0.3805 0.6374  1 W 1.96, 1 Pa 2.19
O2 0.0303 0.6498 0.8626  1 W 1.96, 1 Pa 2.19
O3 0.3502 0.3805 0.8626  1 W 1.96, 1 Pa 2.19
O4 0.3502 0.9697 0.6374  1 W 1.96, 1 Pa 2.19
O5 0.3805 0.0303 0.1374  1 W 1.96, 1 Pa 2.19
O6 0.3805 0.3502 0.3626  1 W 1.96, 1 Pa 2.19
O7 0.6195 0.6498 0.6374  1 W 1.96, 1 Pa 2.19
O8 0.6195 0.9697 0.8626  1 W 1.96, 1 Pa 2.19
O9 0.6498 0.0303 0.3626  1 W 1.96, 1 Pa 2.19
O10 0.6498 0.6195 0.1374  1 W 1.96, 1 Pa 2.19
O11 0.9697 0.3502 0.1374  1 W 1.96, 1 Pa 2.19
O12 0.9697 0.6195 0.3626  1 W 1.96, 1 Pa 2.19

=====

This record from the Alexandria database describes crystalline Li2PaWO8 at its relaxed geometry. The functional is PBE+U.

Values from the calculation:
E_tot	-7.04	eV per atom

Lattice parameters (Å, degrees): 4.7173 6.7291 4.7357 90.00 96.35 90.00
Closest atoms and distances in Å follow each position.
Sites, in units of the cell vectors:
Li1 0.0000 0.2172 0.0000  4 O 2.02-2.13
Li2 0.0000 0.7828 0.0000  4 O 2.02-2.13
Pa1 0.5000 0.0000 0.5000  2 O 1.99
W1 0.5000 0.5000 0.5000  6 O 1.91-2.07
O1 0.2452 0.0000 0.8091  1 Pa 1.99, 2 Li 2.13
O2 0.2507 0.2904 0.3590  1 W 1.91, 1 Li 2.02
O3 0.2507 0.7096 0.3590  1 W 1.91, 1 Li 2.02
O4 0.3749 0.5000 0.9057  1 O 1.40
O5 0.6251 0.5000 0.0943  1 O 1.40
O6 0.7493 0.2904 0.6410  1 W 1.91, 1 Li 2.02
O7 0.7493 0.7096 0.6410  1 W 1.91, 1 Li 2.02
O8 0.7548 0.0000 0.1909  1 Pa 1.99, 2 Li 2.13

=====

Which formula does entry 5 have? LiPaVO5

=====

What did the second record say?
This record from the Alexandria database describes crystalline LiPa2VO8 at its relaxed geometry. The functional is PBE+U.

Values from the calculation:
E_tot	-8.47	eV per atom

Lattice parameters (Å, degrees): 4.7111 4.7111 7.0827 90.87 90.87 92.44
Closest atoms and distances in Å follow each position.
Sites, in units of the cell vectors:
Li1 0.0000 0.0000 0.0000  2 O 1.99
Pa1 0.4821 0.4821 0.7526  6 O 2.15-2.27
Pa2 0.5179 0.5179 0.2474  6 O 2.15-2.27
V1 0.0000 0.0000 0.5000  6 O 1.91-1.92
O1 0.1733 0.7951 0.3017  1 V 1.91
O2 0.2049 0.8267 0.6983  1 V 1.91
O3 0.2934 0.2934 0.4877  1 V 1.92
O4 0.3047 0.3047 0.0119  1 Li 1.99, 2 Pa 2.15-2.19
O5 0.6953 0.6953 0.9881  1 Li 1.99, 2 Pa 2.15-2.19
O6 0.7066 0.7066 0.5123  1 V 1.92
O7 0.7951 0.1733 0.3017  1 V 1.91
O8 0.8267 0.2049 0.6983  1 V 1.91